! AcMg4Ag8 PBE relaxed; values from VASP
! N(E_F): 5.50 states/eV/cell
! ΔH_f (0 K): -15.9 kJ/mol of atoms
&SYSTEM
  ibrav = 0, nat = 13, ntyp = 3
/
ATOMIC_SPECIES
Ac 227.00 Ac.upf
Mg 24.30 Mg.upf
Ag 107.87 Ag.upf
CELL_PARAMETERS angstrom
5.296 0.000 2.129
2.648 6.852 1.064
0.092 0.000 7.422
ATOMIC_POSITIONS crystal
Ac 0.000 0.000 0.000
Mg 0.000 0.000 0.500
Mg 0.500 0.000 0.500
Mg 0.000 0.500 0.000
Mg 0.500 0.500 0.000
Ag 0.000 0.350 0.650
Ag 0.000 0.650 0.350
Ag 0.350 0.650 0.650
Ag 0.650 0.350 0.350
Ag 0.500 0.780 0.220
Ag 0.500 0.220 0.780
Ag 0.280 0.220 0.220
Ag 0.720 0.780 0.780